[1]
VASP calculation (GGA-PBE) on an optimized crystal structure of BiAs3I.

The space group is Pm-3m (No. 221) and the conventional cell measures 5.5236, 5.5236 and 5.5236 Å, with angles of 90.00, 90.00 and 90.00 degrees. The distinct sites, in fractional coordinates, are Bi at (0.0000, 0.0000, 0.0000), As at (0.0000, 0.0000, 0.5000) and I at (0.5000, 0.5000, 0.5000).

The value obtained for the total magnetization is 0.000 μB/atom. For the volume, the calculation gives 169 Å³/cell. For the density of states at the Fermi level, the calculation gives 2.021 states/eV per atom.

[2]
VASP calculation (GGA-PBE) on an optimized crystal structure of Bi2AsI.

The space group is I-42d (No. 122) and the conventional cell measures 8.4307, 8.4307 and 7.4617 Å, with angles of 90.00, 90.00 and 90.00 degrees. The distinct sites, in fractional coordinates, are Bi at (0.2031, 0.2500, 0.1250), As at (0.0000, 0.0000, 0.0000) and I at (0.0000, 0.0000, 0.5000).

The value obtained for the total magnetization is 0.000 μB/atom. For the volume, the calculation gives 530 Å³/cell. For the density of states at the Fermi level, the calculation gives 0.140 states/eV per atom.

[3]
VASP calculation (GGA-PBE) on an optimized crystal structure of Bi3AsI.

The space group is Pm-3m (No. 221) and the conventional cell measures 5.8814, 5.8814 and 5.8814 Å, with angles of 90.00, 90.00 and 90.00 degrees. The distinct sites, in fractional coordinates, are Bi at (0.0000, 0.0000, 0.5000), As at (0.5000, 0.5000, 0.5000) and I at (0.0000, 0.0000, 0.0000).

The value obtained for the total magnetization is 0.000 μB/atom. For the volume, the calculation gives 203 Å³/cell. For the density of states at the Fermi level, the calculation gives 1.407 states/eV per atom.

[4]
VASP calculation (GGA-PBE) on an optimized crystal structure of Bi3AsI3.

The space group is Cmcm (No. 63) and the conventional cell measures 10.6336, 17.5546 and 6.6349 Å, with angles of 90.00, 90.00 and 90.00 degrees. The distinct sites, in fractional coordinates, are Bi at (0.0000, 0.0976, 0.2500), Bi at (0.1454, 0.3777, 0.2500), As at (0.0000, 0.2553, 0.2500), I at (0.0000, 0.0951, 0.7500) and I at (0.2030, 0.4026, 0.7500).

The value obtained for the total magnetization is 0.000 μB/atom. For the volume, the calculation gives 1239 Å³/cell. For the density of states at the Fermi level, the calculation gives 0.220 states/eV per atom.

[5]
VASP calculation (GGA-PBE) on an optimized crystal structure of BiAsI2.

The space group is I-42d (No. 122) and the conventional cell measures 8.6498, 8.6498 and 7.1086 Å, with angles of 90.00, 90.00 and 90.00 degrees. The distinct sites, in fractional coordinates, are Bi at (0.0000, 0.0000, 0.0000), As at (0.0000, 0.0000, 0.5000) and I at (0.2283, 0.2500, 0.6250).

The value obtained for the total magnetization is 0.000 μB/atom. For the volume, the calculation gives 532 Å³/cell. For the density of states at the Fermi level, the calculation gives 0.868 states/eV per atom.

[6]
VASP calculation (GGA-PBE) on an optimized crystal structure of Bi2AsI.

The space group is R-3m (No. 166, hexagonal axes) and the conventional cell measures 3.9969, 3.9969 and 27.1247 Å, with angles of 90.00, 90.00 and 120.00 degrees. The distinct sites, in fractional coordinates, are Bi at (0.0000, 0.0000, 0.2367), As at (0.0000, 0.0000, 0.5000) and I at (0.0000, 0.0000, 0.0000).

The value obtained for the total magnetization is 0.000 μB/atom. For the volume, the calculation gives 375 Å³/cell. For the density of states at the Fermi level, the calculation gives 0.617 states/eV per atom.

[7]
VASP calculation (GGA-PBE) on an optimized crystal structure of Bi2AsI.

The space group is Fm-3m (No. 225) and the conventional cell measures 7.7027, 7.7027 and 7.7027 Å, with angles of 90.00, 90.00 and 90.00 degrees. The distinct sites, in fractional coordinates, are Bi at (0.2500, 0.2500, 0.2500), As at (0.0000, 0.0000, 0.0000) and I at (0.0000, 0.0000, 0.5000).

The value obtained for the total magnetization is 0.000 μB/atom. For the volume, the calculation gives 457 Å³/cell. For the density of states at the Fermi level, the calculation gives 0.674 states/eV per atom.

[8]
VASP calculation (GGA-PBE) on an optimized crystal structure of BiAsI3.

The space group is Pm-3m (No. 221) and the conventional cell measures 6.1760, 6.1760 and 6.1760 Å, with angles of 90.00, 90.00 and 90.00 degrees. The distinct sites, in fractional coordinates, are Bi at (0.0000, 0.0000, 0.0000), As at (0.5000, 0.5000, 0.5000) and I at (0.0000, 0.0000, 0.5000).

The value obtained for the total magnetization is 0.592 μB/atom. For the volume, the calculation gives 236 Å³/cell. For the density of states at the Fermi level, the calculation gives 0.568 states/eV per atom.

Quick rundown of formation energy from raw total energies, same order as above: 517 44 610 -46 163 10 108 165 kJ/mol of formula units